Here is an optimized crystal structure of Ba3Ag2 from Alexandria via LeMat-Bulk. Energies are from PBE.

a b c (Å): 4.8280 4.8280 35.3056
angles (deg): 90.00 90.00 120.00
Closest atoms and distances in Å follow each position.
Space group R-3m (No. 166, hexagonal axes)
Unique sites:
1 Ba 0.0000 0.0000 0.0000  6 Ag 3.46
2 Ba 0.0000 0.0000 0.2220  3 Ag 3.37
3 Ag 0.0000 0.0000 0.3912  6 Ba 3.37-3.46

Summary:
* crystal system: trigonal
* magnetic moment: 0.00 μB/atom
* E_tot: -2.436 eV per atom